Entry 1:
Density functional theory data (PBE-GGA) for a geometry-optimized ThSi2Tc structure.

The structure in POSCAR format:
```
ThSi2Tc
1.0
7.0897 0.0000 0.0000
0.0000 4.1649 0.0000
0.0000 0.0000 10.2799
Th Si Tc
4 8 4
direct
0.1586 0.2500 0.1259
0.3414 0.7500 0.6259
0.6586 0.2500 0.3741
0.8414 0.7500 0.8741
0.1527 0.2500 0.8158
0.1917 0.2500 0.4217
0.3083 0.7500 0.9217
0.3473 0.7500 0.3158
0.6527 0.2500 0.6842
0.6917 0.2500 0.0783
0.8083 0.7500 0.5783
0.8473 0.7500 0.1842
0.0120 0.7500 0.3897
0.4880 0.2500 0.8897
0.5120 0.7500 0.1103
0.9880 0.2500 0.6103
```

Results
SG = No. 62
VASP energy = -125.845 eV for the cell shown
size of the total moment = 0.01 μB/f.u.

=====

Entry 2:
Density functional theory data (PBE-GGA) for a geometry-optimized RbCoAgSe3 structure.

The structure in POSCAR format:
```
RbCoAgSe3
1.0
1.8210 -7.9153 0.0000
1.8210 7.9153 0.0000
0.0000 0.0000 10.1889
Rb Co Ag Se
2 2 2 6
direct
0.2485 0.7515 0.7500
0.7515 0.2485 0.2500
0.0000 0.0000 0.0000
0.0000 0.0000 0.5000
0.4402 0.5598 0.2500
0.5598 0.4402 0.7500
0.0607 0.9393 0.2500
0.3975 0.6025 0.0115
0.3975 0.6025 0.4885
0.6025 0.3975 0.5115
0.6025 0.3975 0.9885
0.9393 0.0607 0.7500
```

Results
SG = No. 63
VASP energy = -45.937 eV for the cell shown
size of the total moment = 0.54 μB/f.u.

=====

Entry 3:
Density functional theory data (PBE-GGA) for a geometry-optimized Y2Pb3W4C3 structure.

The structure in POSCAR format:
```
Y2Pb3W4C3
1.0
5.0735 -2.9523 0.0000
5.0735 2.9523 0.0000
-2.8687 0.0000 14.2025
Y Pb W C
4 6 8 6
direct
0.0292 0.8741 0.6003
0.1259 0.9708 0.8997
0.8741 0.0292 0.1003
0.9708 0.1259 0.3997
0.0764 0.3068 0.7474
0.3068 0.0764 0.2474
0.4636 0.5364 0.7500
0.5364 0.4636 0.2500
0.6932 0.9236 0.7526
0.9236 0.6932 0.2526
0.1878 0.3396 0.0656
0.3055 0.4937 0.4342
0.3396 0.1878 0.5656
0.4937 0.3055 0.9342
0.5063 0.6945 0.0658
0.6604 0.8122 0.4344
0.6945 0.5063 0.5658
0.8122 0.6604 0.9344
0.0000 0.5000 0.5000
0.1736 0.6499 0.9997
0.3501 0.8264 0.5003
0.5000 0.0000 0.0000
0.6499 0.1736 0.4997
0.8264 0.3501 0.0003
```

Results
SG = No. 15
VASP energy = -205.932 eV for the cell shown
size of the total moment = 0.00 μB/f.u.

=====

Entry 4:
Density functional theory data (PBE-GGA) for a geometry-optimized Sr2CoB structure.

The structure in POSCAR format:
```
Sr2CoB
1.0
0.0000 3.4237 3.4237
3.4237 0.0000 3.4237
3.4237 3.4237 0.0000
Sr Co B
2 1 1
direct
0.0000 0.0000 0.0000
0.2500 0.2500 0.2500
0.7500 0.7500 0.7500
0.5000 0.5000 0.5000
```

Results
SG = No. 216
VASP energy = -12.967 eV for the cell shown
size of the total moment = 1.84 μB/f.u.

=====

Entry 5:
Density functional theory data (PBE-GGA) for a geometry-optimized PaBPO structure.

The structure in POSCAR format:
```
PaBPO
1.0
3.4497 0.0000 0.0000
0.0000 6.1271 0.0000
0.0000 0.0000 5.8351
Pa B P O
2 2 2 2
direct
0.0000 0.1792 0.0000
0.0000 0.8208 0.5000
0.5000 0.2531 0.3432
0.5000 0.7469 0.8432
0.0000 0.3435 0.4993
0.0000 0.6565 0.9993
0.5000 0.0140 0.2831
0.5000 0.9860 0.7831
```

Results
excess energy over the best structure of this formula in the dataset = 0.172 eV/atom
SG = No. 26
size of the total moment = 1.00 μB/f.u.

=====

Entry 6:
Density functional theory data (PBE-GGA) for a geometry-optimized RbZr3 structure.

The structure in POSCAR format:
```
RbZr3
1.0
7.1197 0.0000 0.0000
-3.5598 6.1658 0.0000
0.0000 0.0000 5.3572
Rb Zr
2 6
direct
0.3333 0.6667 0.2500
0.6667 0.3333 0.7500
0.1418 0.2837 0.7500
0.1418 0.8582 0.7500
0.2837 0.1418 0.2500
0.7163 0.8582 0.7500
0.8582 0.1418 0.2500
0.8582 0.7163 0.2500
```

Results
SG = No. 194
VASP energy = -45.538 eV for the cell shown
size of the total moment = 0.72 μB/f.u.